# Sc2AgBi

A relaxed structure of Sc2AgBi (PBE, Alexandria via LeMat-Bulk).

The calculation puts the total DFT energy (no corrections) at -20.8 eV/cell. The spin magnetization is 0.7 Bohr magnetons per cell.

It has space group P4/mmm (No. 123), with a = 3.735 Å, b = 3.735 Å, c = 6.559 Å, α = 90.00°, β = 90.00° and γ = 90.00°. The inequivalent atoms are Sc at (0.000, 0.000, 0.243), Ag at (0.500, 0.500, 0.000) and Bi at (0.500, 0.500, 0.500).